1.
Below is a PBEsol-optimized structure of LiScPt4, with properties calculated at the SCAN level.

## Properties
The theoretical density comes out at 13.8 Mg/m³. For the energy of formation, the calculation gives -897 meV per atom. The value obtained for the calculated volume is 16.71 Å³/atom. The final energy is -50.4637 eV/atom. As for the crystal system: cubic. As for the density of states at the Fermi level: 4.4 states/eV/cell.

CIF file:
```
data_LiScPt4
_chemical_formula_sum 'Li1 Sc1 Pt4'
_symmetry_space_group_name_H-M 'P 1'
_symmetry_Int_Tables_number 1
_symmetry_space_group_name_Hall 'P 1'
_cell_length_a 5.2149
_cell_length_b 5.2149
_cell_length_c 5.2149
_cell_angle_alpha 60.00
_cell_angle_beta 60.00
_cell_angle_gamma 60.00
loop_
_atom_site_label
_atom_site_type_symbol
_atom_site_fract_x
_atom_site_fract_y
_atom_site_fract_z
Li1 Li 0.0000 0.0000 0.0000
Sc1 Sc 0.2500 0.2500 0.2500
Pt1 Pt 0.1240 0.6253 0.6253
Pt2 Pt 0.6253 0.1240 0.6253
Pt3 Pt 0.6253 0.6253 0.1240
Pt4 Pt 0.6253 0.6253 0.6253
```

---

2.
Below is a PBEsol-optimized structure of LiPt2Se, with properties calculated at the SCAN level.

## Properties
The theoretical density comes out at 13.0 Mg/m³. The value obtained for the calculated volume is 15.22 Å³/atom. The final energy is -40.7412 eV/atom. As for the crystal system: orthorhombic. As for the density of states at the Fermi level: 4.8 states/eV/cell.

CIF file:
```
data_LiPt2Se
_chemical_formula_sum 'Li2 Pt4 Se2'
_symmetry_space_group_name_H-M 'P 1'
_symmetry_Int_Tables_number 1
_symmetry_space_group_name_Hall 'P 1'
_cell_length_a 2.7626
_cell_length_b 4.7764
_cell_length_c 9.2306
_cell_angle_alpha 90.00
_cell_angle_beta 90.00
_cell_angle_gamma 90.00
loop_
_atom_site_label
_atom_site_type_symbol
_atom_site_fract_x
_atom_site_fract_y
_atom_site_fract_z
Li1 Li 0.0000 0.0000 0.0000
Li2 Li 0.5000 0.5000 0.0000
Pt1 Pt 0.0000 0.5000 0.2344
Pt2 Pt 0.0000 0.5000 0.7656
Pt3 Pt 0.5000 0.0000 0.2344
Pt4 Pt 0.5000 0.0000 0.7656
Se1 Se 0.0000 0.0000 0.5000
Se2 Se 0.5000 0.5000 0.5000
```

---

3.
Below is a PBEsol-optimized structure of LiPtSe, with properties calculated at the SCAN level.

## Properties
The theoretical density comes out at 10.4 Mg/m³. The value obtained for the calculated volume is 14.97 Å³/atom. The final energy is -31.2433 eV/atom. As for the crystal system: tetragonal. Its polymorph energy (0 for the lowest one) is 175 meV/atom. As for the density of states at the Fermi level: 3.1 states/eV/cell.

CIF file:
```
data_LiPtSe
_chemical_formula_sum 'Li2 Pt2 Se2'
_symmetry_space_group_name_H-M 'P 1'
_symmetry_Int_Tables_number 1
_symmetry_space_group_name_Hall 'P 1'
_cell_length_a 3.4288
_cell_length_b 3.4288
_cell_length_c 7.6390
_cell_angle_alpha 90.00
_cell_angle_beta 90.00
_cell_angle_gamma 90.00
loop_
_atom_site_label
_atom_site_type_symbol
_atom_site_fract_x
_atom_site_fract_y
_atom_site_fract_z
Li1 Li 0.0000 0.0000 0.0000
Li2 Li 0.5000 0.5000 0.5000
Pt1 Pt 0.0000 0.0000 0.6563
Pt2 Pt 0.5000 0.5000 0.1563
Se1 Se 0.0000 0.0000 0.3303
Se2 Se 0.5000 0.5000 0.8303
```

---

4.
Below is a PBEsol-optimized structure of LiPtSe, with properties calculated at the SCAN level.

## Properties
The theoretical density comes out at 10.0 Mg/m³. The value obtained for the calculated volume is 15.50 Å³/atom. The final energy is -31.0958 eV/atom. As for the crystal system: tetragonal. Its polymorph energy (0 for the lowest one) is 323 meV/atom. As for the density of states at the Fermi level: 3.0 states/eV/cell.

CIF file:
```
data_LiPtSe
_chemical_formula_sum 'Li2 Pt2 Se2'
_symmetry_space_group_name_H-M 'P 1'
_symmetry_Int_Tables_number 1
_symmetry_space_group_name_Hall 'P 1'
_cell_length_a 2.8742
_cell_length_b 2.8742
_cell_length_c 11.2607
_cell_angle_alpha 90.00
_cell_angle_beta 90.00
_cell_angle_gamma 90.00
loop_
_atom_site_label
_atom_site_type_symbol
_atom_site_fract_x
_atom_site_fract_y
_atom_site_fract_z
Li1 Li 0.0000 0.0000 0.0000
Li2 Li 0.5000 0.5000 0.5000
Pt1 Pt 0.0000 0.0000 0.6570
Pt2 Pt 0.5000 0.5000 0.1570
Se1 Se 0.0000 0.0000 0.3205
Se2 Se 0.5000 0.5000 0.8205
```

---

5.
Below is a PBEsol-optimized structure of LiPtSe3, with properties calculated at the SCAN level.

## Properties
The theoretical density comes out at 8.3 Mg/m³. The value obtained for the calculated volume is 17.63 Å³/atom. The final energy is -25.8393 eV/atom. As for the crystal system: cubic. As for the density of states at the Fermi level: 4.1 states/eV/cell.

CIF file:
```
data_LiPtSe3
_chemical_formula_sum 'Li1 Pt1 Se3'
_symmetry_space_group_name_H-M 'P 1'
_symmetry_Int_Tables_number 1
_symmetry_space_group_name_Hall 'P 1'
_cell_length_a 4.4502
_cell_length_b 4.4502
_cell_length_c 4.4502
_cell_angle_alpha 90.00
_cell_angle_beta 90.00
_cell_angle_gamma 90.00
loop_
_atom_site_label
_atom_site_type_symbol
_atom_site_fract_x
_atom_site_fract_y
_atom_site_fract_z
Li1 Li 0.0000 0.0000 0.0000
Pt1 Pt 0.5000 0.5000 0.5000
Se1 Se 0.0000 0.0000 0.5000
Se2 Se 0.0000 0.5000 0.0000
Se3 Se 0.5000 0.0000 0.0000
```

---

6.
Below is a PBEsol-optimized structure of LiPtSe, with properties calculated at the SCAN level.

## Properties
The theoretical density comes out at 9.9 Mg/m³. The value obtained for the calculated volume is 15.68 Å³/atom. The final energy is -31.4185 eV/atom. As for the crystal system: hexagonal. Its polymorph energy (0 for the lowest one) is 0 meV/atom. As for the density of states at the Fermi level: 0.8 states/eV/cell.

CIF file:
```
data_LiPtSe
_chemical_formula_sum 'Li1 Pt1 Se1'
_symmetry_space_group_name_H-M 'P 1'
_symmetry_Int_Tables_number 1
_symmetry_space_group_name_Hall 'P 1'
_cell_length_a 4.2971
_cell_length_b 4.2971
_cell_length_c 2.9409
_cell_angle_alpha 90.00
_cell_angle_beta 90.00
_cell_angle_gamma 120.00
loop_
_atom_site_label
_atom_site_type_symbol
_atom_site_fract_x
_atom_site_fract_y
_atom_site_fract_z
Li1 Li 0.0000 0.0000 0.0000
Pt1 Pt 0.3333 0.6667 0.5000
Se1 Se 0.6667 0.3333 0.5000
```

---

7.
Below is a PBEsol-optimized structure of LiPt2Se, with properties calculated at the SCAN level.

## Properties
The theoretical density comes out at 13.4 Mg/m³. The value obtained for the calculated volume is 14.72 Å³/atom. The final energy is -40.9108 eV/atom. As for the crystal system: orthorhombic. As for the density of states at the Fermi level: 1.5 states/eV/cell.

CIF file:
```
data_LiPt2Se
_chemical_formula_sum 'Li1 Pt2 Se1'
_symmetry_space_group_name_H-M 'P 1'
_symmetry_Int_Tables_number 1
_symmetry_space_group_name_Hall 'P 1'
_cell_length_a 2.8794
_cell_length_b 3.7296
_cell_length_c 5.4824
_cell_angle_alpha 90.00
_cell_angle_beta 90.00
_cell_angle_gamma 90.00
loop_
_atom_site_label
_atom_site_type_symbol
_atom_site_fract_x
_atom_site_fract_y
_atom_site_fract_z
Li1 Li 0.0000 0.0000 0.0000
Pt1 Pt 0.5000 0.5000 0.2431
Pt2 Pt 0.5000 0.5000 0.7569
Se1 Se 0.0000 0.0000 0.5000
```

---

8.
Below is a PBEsol-optimized structure of LiSiPt2, with properties calculated at the SCAN level.

## Properties
The theoretical density comes out at 13.2 Mg/m³. The value obtained for the calculated volume is 13.33 Å³/atom. The final energy is -38.8975 eV/atom. As for the crystal system: orthorhombic. As for the density of states at the Fermi level: 2.5 states/eV/cell.

CIF file:
```
data_LiSiPt2
_chemical_formula_sum 'Li2 Si2 Pt4'
_symmetry_space_group_name_H-M 'P 1'
_symmetry_Int_Tables_number 1
_symmetry_space_group_name_Hall 'P 1'
_cell_length_a 3.4174
_cell_length_b 3.7426
_cell_length_c 8.3371
_cell_angle_alpha 90.00
_cell_angle_beta 90.00
_cell_angle_gamma 90.00
loop_
_atom_site_label
_atom_site_type_symbol
_atom_site_fract_x
_atom_site_fract_y
_atom_site_fract_z
Li1 Li 0.0000 0.0000 0.0000
Li2 Li 0.5000 0.5000 0.5000
Si1 Si 0.0000 0.5000 0.2421
Si2 Si 0.5000 0.0000 0.7421
Pt1 Pt 0.0000 0.0000 0.5179
Pt2 Pt 0.0000 0.5000 0.7612
Pt3 Pt 0.5000 0.0000 0.2612
Pt4 Pt 0.5000 0.5000 0.0179
```

---

9.
Below is a PBEsol-optimized structure of LiSiPt3, with properties calculated at the SCAN level.

## Properties
The theoretical density comes out at 11.4 Mg/m³. The value obtained for the calculated volume is 18.03 Å³/atom. The final energy is -44.7184 eV/atom. As for the crystal system: cubic. As for the density of states at the Fermi level: 4.2 states/eV/cell.

CIF file:
```
data_LiSiPt3
_chemical_formula_sum 'Li1 Si1 Pt3'
_symmetry_space_group_name_H-M 'P 1'
_symmetry_Int_Tables_number 1
_symmetry_space_group_name_Hall 'P 1'
_cell_length_a 4.4842
_cell_length_b 4.4842
_cell_length_c 4.4842
_cell_angle_alpha 90.00
_cell_angle_beta 90.00
_cell_angle_gamma 90.00
loop_
_atom_site_label
_atom_site_type_symbol
_atom_site_fract_x
_atom_site_fract_y
_atom_site_fract_z
Li1 Li 0.0000 0.0000 0.0000
Si1 Si 0.5000 0.5000 0.5000
Pt1 Pt 0.0000 0.5000 0.5000
Pt2 Pt 0.5000 0.0000 0.5000
Pt3 Pt 0.5000 0.5000 0.0000
```

---

10.
Below is a PBEsol-optimized structure of LiSiPt2, with properties calculated at the SCAN level.

## Properties
The theoretical density comes out at 13.7 Mg/m³. The value obtained for the calculated volume is 12.93 Å³/atom. The final energy is -38.9997 eV/atom. As for the crystal system: orthorhombic. As for the density of states at the Fermi level: 2.2 states/eV/cell.

CIF file:
```
data_LiSiPt2
_chemical_formula_sum 'Li2 Si2 Pt4'
_symmetry_space_group_name_H-M 'P 1'
_symmetry_Int_Tables_number 1
_symmetry_space_group_name_Hall 'P 1'
_cell_length_a 5.6501
_cell_length_b 6.5597
_cell_length_c 2.7911
_cell_angle_alpha 90.00
_cell_angle_beta 90.00
_cell_angle_gamma 90.00
loop_
_atom_site_label
_atom_site_type_symbol
_atom_site_fract_x
_atom_site_fract_y
_atom_site_fract_z
Li1 Li 0.0000 0.0000 0.0000
Li2 Li 0.5000 0.5000 0.0000
Si1 Si 0.0000 0.5000 0.0000
Si2 Si 0.5000 0.0000 0.0000
Pt1 Pt 0.2500 0.2500 0.5000
Pt2 Pt 0.2500 0.7500 0.5000
Pt3 Pt 0.7500 0.2500 0.5000
Pt4 Pt 0.7500 0.7500 0.5000
```

---

11.
Below is a PBEsol-optimized structure of LiSiPt2, with properties calculated at the SCAN level.

## Properties
The theoretical density comes out at 13.4 Mg/m³. The value obtained for the calculated volume is 13.13 Å³/atom. The final energy is -38.9676 eV/atom. As for the crystal system: monoclinic. As for the density of states at the Fermi level: 2.3 states/eV/cell.

CIF file:
```
data_LiSiPt2
_chemical_formula_sum 'Li2 Si2 Pt4'
_symmetry_space_group_name_H-M 'P 1'
_symmetry_Int_Tables_number 1
_symmetry_space_group_name_Hall 'P 1'
_cell_length_a 8.9429
_cell_length_b 2.8161
_cell_length_c 4.3052
_cell_angle_alpha 90.00
_cell_angle_beta 104.38
_cell_angle_gamma 90.00
loop_
_atom_site_label
_atom_site_type_symbol
_atom_site_fract_x
_atom_site_fract_y
_atom_site_fract_z
Li1 Li 0.0000 0.0000 0.0000
Li2 Li 0.5000 0.5000 0.0000
Si1 Si 0.2494 0.0000 0.6272
Si2 Si 0.7494 0.5000 0.6272
Pt1 Pt 0.0139 0.5000 0.5167
Pt2 Pt 0.2464 0.5000 0.1223
Pt3 Pt 0.5139 0.0000 0.5167
Pt4 Pt 0.7464 0.0000 0.1223
```

---

12.
Below is a PBEsol-optimized structure of LiSi2Pt2, with properties calculated at the SCAN level.

## Properties
The theoretical density comes out at 9.4 Mg/m³. The value obtained for the calculated volume is 15.98 Å³/atom. The final energy is -33.3093 eV/atom. As for the crystal system: tetragonal. As for the density of states at the Fermi level: 3.1 states/eV/cell.

CIF file:
```
data_LiSi2Pt2
_chemical_formula_sum 'Li2 Si4 Pt4'
_symmetry_space_group_name_H-M 'P 1'
_symmetry_Int_Tables_number 1
_symmetry_space_group_name_Hall 'P 1'
_cell_length_a 3.9950
_cell_length_b 3.9950
_cell_length_c 10.0121
_cell_angle_alpha 90.00
_cell_angle_beta 90.00
_cell_angle_gamma 90.00
loop_
_atom_site_label
_atom_site_type_symbol
_atom_site_fract_x
_atom_site_fract_y
_atom_site_fract_z
Li1 Li 0.0000 0.0000 0.0000
Li2 Li 0.5000 0.5000 0.5000
Si1 Si 0.0000 0.0000 0.3857
Si2 Si 0.0000 0.0000 0.6143
Si3 Si 0.5000 0.5000 0.1143
Si4 Si 0.5000 0.5000 0.8857
Pt1 Pt 0.0000 0.5000 0.2500
Pt2 Pt 0.0000 0.5000 0.7500
Pt3 Pt 0.5000 0.0000 0.2500
Pt4 Pt 0.5000 0.0000 0.7500
```

---

13.
Below is a PBEsol-optimized structure of LiSiPt2, with properties calculated at the SCAN level.

## Properties
The theoretical density comes out at 13.7 Mg/m³. The value obtained for the calculated volume is 12.93 Å³/atom. The final energy is -39.0652 eV/atom. As for the crystal system: tetragonal. As for the density of states at the Fermi level: 0.8 states/eV/cell.

CIF file:
```
data_LiSiPt2
_chemical_formula_sum 'Li1 Si1 Pt2'
_symmetry_space_group_name_H-M 'P 1'
_symmetry_Int_Tables_number 1
_symmetry_space_group_name_Hall 'P 1'
_cell_length_a 3.9034
_cell_length_b 3.9034
_cell_length_c 3.3947
_cell_angle_alpha 90.00
_cell_angle_beta 90.00
_cell_angle_gamma 90.00
loop_
_atom_site_label
_atom_site_type_symbol
_atom_site_fract_x
_atom_site_fract_y
_atom_site_fract_z
Li1 Li 0.0000 0.0000 0.0000
Si1 Si 0.5000 0.5000 0.0000
Pt1 Pt 0.0000 0.5000 0.5000
Pt2 Pt 0.5000 0.0000 0.5000
```

---

14.
Below is a PBEsol-optimized structure of LiSiPt, with properties calculated at the SCAN level.

## Properties
The theoretical density comes out at 9.2 Mg/m³. The value obtained for the calculated volume is 13.83 Å³/atom. The final energy is -28.2577 eV/atom. As for the crystal system: hexagonal. As for the density of states at the Fermi level: 1.3 states/eV/cell.

CIF file:
```
data_LiSiPt
_chemical_formula_sum 'Li1 Si1 Pt1'
_symmetry_space_group_name_H-M 'P 1'
_symmetry_Int_Tables_number 1
_symmetry_space_group_name_Hall 'P 1'
_cell_length_a 4.1415
_cell_length_b 4.1415
_cell_length_c 2.7923
_cell_angle_alpha 90.00
_cell_angle_beta 90.00
_cell_angle_gamma 120.00
loop_
_atom_site_label
_atom_site_type_symbol
_atom_site_fract_x
_atom_site_fract_y
_atom_site_fract_z
Li1 Li 0.0000 0.0000 0.0000
Si1 Si 0.6667 0.3333 0.5000
Pt1 Pt 0.3333 0.6667 0.5000
```

---

15.
Below is a PBEsol-optimized structure of LiSiPt2, with properties calculated at the SCAN level.

## Properties
The theoretical density comes out at 12.2 Mg/m³. The value obtained for the calculated volume is 14.53 Å³/atom. The final energy is -38.5748 eV/atom. As for the crystal system: tetragonal. As for the density of states at the Fermi level: 1.8 states/eV/cell.

CIF file:
```
data_LiSiPt2
_chemical_formula_sum 'Li1 Si1 Pt2'
_symmetry_space_group_name_H-M 'P 1'
_symmetry_Int_Tables_number 1
_symmetry_space_group_name_Hall 'P 1'
_cell_length_a 2.7877
_cell_length_b 2.7877
_cell_length_c 7.4776
_cell_angle_alpha 90.00
_cell_angle_beta 90.00
_cell_angle_gamma 90.00
loop_
_atom_site_label
_atom_site_type_symbol
_atom_site_fract_x
_atom_site_fract_y
_atom_site_fract_z
Li1 Li 0.0000 0.0000 0.0000
Si1 Si 0.5000 0.5000 0.7237
Pt1 Pt 0.0000 0.0000 0.5175
Pt2 Pt 0.5000 0.5000 0.2425
```